DFT (GGA-PBE) results for a relaxed CoHgOs2 crystal.

Output
calculated volume = 60.4 Å³/cell
formation enthalpy at 0 K = 0.937 eV per atom

Lattice parameters (Å, degrees): 4.882 4.882 2.805 90.00 90.00 115.38
Sites, in units of the cell vectors:
Co  0.000  0.000  0.000
Hg  0.500  0.500  0.000
Os  0.000  0.500  0.500
Os  0.500  0.000  0.500